# 1
Density functional theory data (GGA+U) for crystalline SrLaMnCoO6 at its relaxed geometry.

Lattice parameters (Å, degrees): 5.4894 5.4894 5.4894 60.00 60.00 60.00
Closest atoms and distances in Å follow each position.
Sites, in units of the cell vectors:
Sr 0.0000 0.0000 0.0000  12 O 2.74
La 0.5000 0.5000 0.5000  12 O 2.74
Mn 0.2500 0.2500 0.2500  6 O 1.92
Co 0.7500 0.7500 0.7500  6 O 1.96
O 0.0025 0.0025 0.4975  1 Mn 1.92, 1 Co 1.96
O 0.0025 0.4975 0.0025  1 Mn 1.92, 1 Co 1.96
O 0.0025 0.4975 0.4975  1 Mn 1.92, 1 Co 1.96
O 0.4975 0.0025 0.0025  1 Mn 1.92, 1 Co 1.96
O 0.4975 0.0025 0.4975  1 Mn 1.92, 1 Co 1.96
O 0.4975 0.4975 0.0025  1 Mn 1.92, 1 Co 1.96

Properties
symmetry = F-43m, No. 216
electronic total energy = -7.00 eV/atom
total magnetic moment = 7.0 μB/f.u.
crystal system = cubic

# 2
Density functional theory data (GGA+U) for crystalline Sr2LaMnCoO7 at its relaxed geometry.

Lattice parameters (Å, degrees): 10.4676 10.4676 10.4676 158.62 158.62 30.42
Closest atoms and distances in Å follow each position.
Sites, in units of the cell vectors:
Sr 0.0000 0.0000 0.0000  12 O 2.74-2.86
Sr 0.1796 0.1796 0.0000  5 O 2.47-2.58
La 0.8155 0.8155 0.0000  5 O 2.38-2.53
Mn 0.5949 0.5949 0.0000  6 O 1.94-2.08
Co 0.4016 0.4016 0.0000  6 O 1.95-2.01
O 0.0959 0.5959 0.5000  2 Mn 1.94
O 0.3021 0.3021 0.0000  1 Co 2.01
O 0.3959 0.8959 0.5000  2 Co 1.95
O 0.4986 0.4986 0.0000  1 Mn 1.95, 1 Co 1.96
O 0.5959 0.0959 0.5000  2 Mn 1.94
O 0.6977 0.6977 0.0000  1 Mn 2.08
O 0.8959 0.3959 0.5000  2 Co 1.95

Properties
symmetry = I4mm, No. 107
electronic total energy = -6.88 eV/atom
total magnetic moment = 5.0 μB/f.u.
crystal system = tetragonal

> The lowest electronic total energy belongs to which entry?

SrLaMnCoO6

> The highest total magnetic moment belongs to which entry?

SrLaMnCoO6

> Number 1 is which compound?

SrLaMnCoO6

> What is the electronic total energy in the second record?

-6.88 eV/atom